[1]
Density functional theory data (PBE) for a relaxed structure of BaPOs2.

a = 5.6718 Å, b = 5.6718 Å, c = 5.6718 Å
α = 149.54°, β = 121.82°, γ = 67.09°
Positions (direct):
Ba: 0.0000 0.0000 0.0000
P: 0.5000 0.5000 0.0000
Os: 0.3066 0.8066 0.5000
Os: 0.6934 0.1934 0.5000

Summary:
**Calculated total energy**: -26.8 eV/cell
**Calculated density**: 11.73 g/cm³
**Space group**: Immm

***

[2]
Density functional theory data (PBE) for a relaxed structure of BaPOs2.

a = 3.0114 Å, b = 3.0114 Å, c = 8.1912 Å
α = 90.00°, β = 90.00°, γ = 90.11°
Positions (direct):
Ba: 0.0000 0.0000 0.0000
P: 0.0000 0.0000 0.5000
Os: 0.5000 0.5000 0.3375
Os: 0.5000 0.5000 0.6625

Summary:
**Calculated total energy**: -27.3 eV/cell
**Calculated density**: 12.27 g/cm³
**Space group**: Cmmm

***

[3]
Density functional theory data (PBE) for a relaxed structure of BaPOs2.

a = 3.7432 Å, b = 4.0458 Å, c = 6.0465 Å
α = 90.00°, β = 95.42°, γ = 90.00°
Positions (direct):
Ba: 0.0000 0.0000 0.0000
P: 0.4419 0.5000 0.6964
Os: 0.5305 0.0000 0.4777
Os: 0.9175 0.5000 0.4684

Summary:
**Calculated total energy**: -29.4 eV/cell
**Calculated density**: 10.00 g/cm³
**Space group**: Pm

***

[4]
Density functional theory data (PBE) for a relaxed structure of BaPOs.

a = 4.0172 Å, b = 4.0172 Å, c = 5.1832 Å
α = 90.00°, β = 90.00°, γ = 120.00°
Positions (direct):
Ba: 0.0000 0.0000 0.0000
P: 0.6667 0.3333 0.5000
Os: 0.3333 0.6667 0.5000

Summary:
**Calculated total energy**: -19.6 eV/cell
**Calculated density**: 8.22 g/cm³
**Space group**: P-6m2

***

[5]
Density functional theory data (PBE) for a relaxed structure of BaPOs2.

a = 2.9668 Å, b = 3.7227 Å, c = 7.2488 Å
α = 90.00°, β = 90.00°, γ = 90.00°
Positions (direct):
Ba: 0.0000 0.0000 0.0000
P: 0.5000 0.5000 0.6739
Os: 0.0000 0.0000 0.5075
Os: 0.5000 0.5000 0.3490

Summary:
**Calculated total energy**: -28.3 eV/cell
**Calculated density**: 11.38 g/cm³
**Space group**: Pmm2

***

[6]
Density functional theory data (PBE) for a relaxed structure of BaPOs2.

a = 8.9631 Å, b = 8.9631 Å, c = 8.9631 Å
α = 20.29°, β = 20.29°, γ = 20.29°
Positions (direct):
Ba: 0.0000 0.0000 0.0000
P: 0.5000 0.5000 0.5000
Os: 0.2242 0.2242 0.2242
Os: 0.7758 0.7758 0.7758

Summary:
**Calculated total energy**: -26.9 eV/cell
**Calculated density**: 12.02 g/cm³
**Space group**: R-3m

***

[7]
Density functional theory data (PBE) for a relaxed structure of BaPOs4.

a = 5.4070 Å, b = 5.4070 Å, c = 5.4070 Å
α = 60.00°, β = 60.00°, γ = 60.00°
Positions (direct):
Ba: 0.0000 0.0000 0.0000
P: 0.2500 0.2500 0.2500
Os: 0.1297 0.6234 0.6234
Os: 0.6234 0.1297 0.6234
Os: 0.6234 0.6234 0.1297
Os: 0.6234 0.6234 0.6234

Summary:
**Calculated total energy**: -45.6 eV/cell
**Calculated density**: 13.80 g/cm³
**Space group**: F-43m

***

[8]
Density functional theory data (PBE) for a relaxed structure of BaPOs2.

a = 8.7006 Å, b = 8.7006 Å, c = 8.7006 Å
α = 146.53°, β = 146.53°, γ = 48.06°
Positions (direct):
Ba: 0.0000 0.0000 0.0000
Ba: 0.7500 0.2500 0.5000
P: 0.2500 0.7500 0.5000
P: 0.5000 0.5000 0.0000
Os: 0.3663 0.6250 0.2413
Os: 0.3750 0.6163 0.7413
Os: 0.3837 0.1250 0.7587
Os: 0.8750 0.6337 0.2587

Summary:
**Calculated total energy**: -58.0 eV/cell
**Calculated density**: 9.13 g/cm³
**Space group**: I-42d

***

[9]
Density functional theory data (PBE) for a relaxed structure of BaPOs2.

a = 9.7262 Å, b = 9.7262 Å, c = 9.7262 Å
α = 17.91°, β = 17.91°, γ = 17.91°
Positions (direct):
Ba: 0.0000 0.0000 0.0000
P: 0.2296 0.2296 0.2296
Os: 0.5074 0.5074 0.5074
Os: 0.7657 0.7657 0.7657

Summary:
**Calculated total energy**: -27.0 eV/cell
**Calculated density**: 12.00 g/cm³
**Space group**: R3m

***

[10]
Density functional theory data (PBE) for a relaxed structure of BaPOs2.

a = 5.9357 Å, b = 5.9357 Å, c = 5.9357 Å
α = 150.81°, β = 121.21°, γ = 66.97°
Positions (direct):
Ba: 0.0000 0.0000 0.0000
P: 0.7173 0.2173 0.5000
Os: 0.3265 0.8265 0.5000
Os: 0.5351 0.5351 0.0000

Summary:
**Calculated total energy**: -26.6 eV/cell
**Calculated density**: 10.56 g/cm³
**Space group**: Imm2

***

[11]
Density functional theory data (PBE) for a relaxed structure of BaP2Os.

a = 3.1181 Å, b = 3.3837 Å, c = 7.2084 Å
α = 90.00°, β = 90.00°, γ = 90.00°
Positions (direct):
Ba: 0.0000 0.0000 0.0000
P: 0.5000 0.5000 0.3287
P: 0.5000 0.5000 0.6713
Os: 0.0000 0.0000 0.5000

Summary:
**Calculated density**: 8.50 g/cm³
**Space group**: Pmmm
**Offset from the most stable computed form**: 225 kJ/mol of formula units

***

[12]
Density functional theory data (PBE) for a relaxed structure of BaP2Os.

a = 3.1704 Å, b = 3.4743 Å, c = 7.2744 Å
α = 90.00°, β = 90.00°, γ = 90.00°
Positions (direct):
Ba: 0.0000 0.0000 0.0000
P: 0.0000 0.0000 0.4789
P: 0.5000 0.5000 0.6934
Os: 0.5000 0.5000 0.3712

Summary:
**Calculated density**: 8.07 g/cm³
**Space group**: Pmm2
**Offset from the most stable computed form**: 277 kJ/mol of formula units

***

[13]
Density functional theory data (PBE) for a relaxed structure of BaPOs.

a = 4.7449 Å, b = 4.7449 Å, c = 4.7449 Å
α = 60.00°, β = 60.00°, γ = 60.00°
Positions (direct):
Ba: 0.0000 0.0000 0.0000
P: 0.2500 0.2500 0.2500
Os: 0.5000 0.5000 0.5000

Summary:
**Calculated total energy**: -15.8 eV/cell
**Calculated density**: 7.88 g/cm³
**Space group**: F-43m

***

[14]
Density functional theory data (PBE) for a relaxed structure of BaP2Os.

a = 4.8464 Å, b = 4.8464 Å, c = 4.8464 Å
α = 60.00°, β = 60.00°, γ = 60.00°
Positions (direct):
Ba: 0.0000 0.0000 0.0000
P: 0.2500 0.2500 0.2500
P: 0.5000 0.5000 0.5000
Os: 0.7500 0.7500 0.7500

Summary:
**Calculated density**: 8.04 g/cm³
**Space group**: F-43m
**Offset from the most stable computed form**: 617 kJ/mol of formula units